Entry from Alexandria via LeMat-Bulk: a relaxed structure of Sb5Ru4 (PBE).

```
9
Lattice="-4.4413 4.4413 2.2547 4.4413 -4.4413 2.2547 4.4413 4.4413 -2.2547" Properties=species:S:1:pos:R:3 pbc="T T T"
Sb 0.0000 0.0000 0.0000
Sb 2.8515 2.8515 0.0000
Sb 1.5898 -1.5898 2.2547
Sb -1.5898 1.5898 2.2547
Sb 1.5898 1.5898 2.2547
Ru 3.1603 0.0000 0.0000
Ru 5.7223 0.0000 0.0000
Ru 0.0000 3.1603 0.0000
Ru 0.0000 5.7223 0.0000
```

Space group: No. 139
Density of states at the Fermi level (states/eV per atom): 1.21
ΔE to the lowest computed polymorph (meV/atom): 198
Uncorrected formation energy (eV per atom): 0.492